Computed, not measured: a geometry-optimized CsNaFe2Br6 structure at the PBE level of DFT.

The space group is C2/c (No. 15) and the conventional cell measures 14.272, 13.320 and 7.746 Å, with angles of 90.00, 105.86 and 90.00 degrees. Symmetry generates all atoms from Cs at (0.000, 0.192, 0.250), Na at (0.000, 0.400, 0.750), Fe at (0.215, 0.087, 0.778), Br at (0.110, 0.426, 0.137), Br at (0.143, 0.025, 0.017) and Br at (0.154, 0.254, 0.697).

For the total magnetization, the calculation gives 32.0 Bohr magnetons per cell. The value obtained for the formation energy (no corrections) is -0.915 eV per atom.